1.
The following is a DFT calculation (GGA-PBE) of a geometry-optimized Cs3LiAg2Br9 structure.

Cell lengths 7.7130, 7.7130, 9.5071 Å; angles 90.00, 90.00, 120.00 degrees
Sites, in units of the cell vectors:
Cs: 0.0000 0.0000 0.0000
Cs: 0.3333 0.6667 0.6575
Cs: 0.6667 0.3333 0.3425
Li: 0.0000 0.0000 0.5000
Ag: 0.3333 0.6667 0.1673
Ag: 0.6667 0.3333 0.8327
Br: 0.0000 0.5000 0.0000
Br: 0.1659 0.3317 0.3260
Br: 0.1659 0.8341 0.3260
Br: 0.3317 0.1659 0.6740
Br: 0.5000 0.0000 0.0000
Br: 0.5000 0.5000 0.0000
Br: 0.6683 0.8341 0.3260
Br: 0.8341 0.1659 0.6740
Br: 0.8341 0.6683 0.6740

For the uncorrected formation energy, the calculation gives -1454 kJ/mol of formula units. As for the electronic total energy: -40.30 eV per cell. As for the space group: No. 164.

2.
The following is a DFT calculation (GGA-PBE) of a geometry-optimized CsLi2AgBr4 structure.

Cell lengths 7.3052, 7.3052, 7.3052 Å; angles 122.64, 122.32, 85.75 degrees
Sites, in units of the cell vectors:
Cs: 0.0000 0.0000 0.0000
Li: 0.2500 0.7500 0.5000
Li: 0.7500 0.2500 0.5000
Ag: 0.5000 0.5000 0.0000
Br: 0.1239 0.5289 0.9980
Br: 0.4691 0.4711 0.5949
Br: 0.5309 0.1259 0.0020
Br: 0.8761 0.8741 0.4051

For the uncorrected formation energy, the calculation gives -963 kJ/mol of formula units. As for the electronic total energy: -24.20 eV per cell. As for the space group: No. 23.

3.
The following is a DFT calculation (GGA-PBE) of a geometry-optimized CsLiAgBr3 structure.

Cell lengths 9.3489, 4.3563, 10.3602 Å; angles 90.00, 108.71, 90.00 degrees
Sites, in units of the cell vectors:
Cs: 0.2195 0.2500 0.2384
Cs: 0.7805 0.7500 0.7616
Li: 0.1117 0.2500 0.6178
Li: 0.8883 0.7500 0.3822
Ag: 0.3377 0.7500 0.8875
Ag: 0.6623 0.2500 0.1125
Br: 0.1192 0.2500 0.8635
Br: 0.1805 0.7500 0.5196
Br: 0.4929 0.7500 0.1724
Br: 0.5071 0.2500 0.8276
Br: 0.8195 0.2500 0.4804
Br: 0.8808 0.7500 0.1365

For the uncorrected formation energy, the calculation gives -696 kJ/mol of formula units. As for the electronic total energy: -35.70 eV per cell. As for the space group: No. 11.

4.
The following is a DFT calculation (GGA-PBE) of a geometry-optimized Cs2MgAgBr5 structure.

Cell lengths 10.9882, 10.9882, 14.4725 Å; angles 90.00, 90.00, 157.05 degrees
Sites, in units of the cell vectors:
Cs: 0.1221 0.8779 0.5000
Cs: 0.1292 0.8708 0.1111
Cs: 0.8708 0.1292 0.6111
Cs: 0.8779 0.1221 0.0000
Mg: 0.2116 0.7884 0.8223
Mg: 0.7884 0.2116 0.3223
Ag: 0.4320 0.5680 0.2371
Ag: 0.5680 0.4320 0.7371
Br: 0.0880 0.9120 0.8439
Br: 0.2856 0.7144 0.4450
Br: 0.2991 0.7009 0.1918
Br: 0.3318 0.6682 0.8072
Br: 0.4973 0.5027 0.0861
Br: 0.5027 0.4973 0.5861
Br: 0.6682 0.3318 0.3072
Br: 0.7009 0.2991 0.6918
Br: 0.7144 0.2856 0.9450
Br: 0.9120 0.0880 0.3439

For the uncorrected formation energy, the calculation gives -1178 kJ/mol of formula units. As for the electronic total energy: -53.45 eV per cell. As for the space group: No. 36.

5.
The following is a DFT calculation (GGA-PBE) of a geometry-optimized CsMgAgBr4 structure.

Cell lengths 6.8629, 7.8301, 9.8099 Å; angles 90.00, 105.49, 90.00 degrees
Sites, in units of the cell vectors:
Cs: 0.2440 0.2500 0.4316
Cs: 0.7560 0.7500 0.5684
Mg: 0.2834 0.7500 0.1775
Mg: 0.7166 0.2500 0.8225
Ag: 0.3490 0.2500 0.9837
Ag: 0.6510 0.7500 0.0163
Br: 0.0095 0.7500 0.9519
Br: 0.1802 0.7500 0.4036
Br: 0.4623 0.0066 0.7985
Br: 0.4623 0.4934 0.7985
Br: 0.5377 0.5066 0.2015
Br: 0.5377 0.9934 0.2015
Br: 0.8198 0.2500 0.5964
Br: 0.9905 0.2500 0.0481

For the uncorrected formation energy, the calculation gives -831 kJ/mol of formula units. As for the electronic total energy: -41.22 eV per cell. As for the space group: No. 11.

6.
The following is a DFT calculation (GGA-PBE) of a geometry-optimized Cs2MgAgBr6 structure.

Cell lengths 7.7760, 7.7760, 7.7760 Å; angles 119.30, 119.30, 91.21 degrees
Sites, in units of the cell vectors:
Cs: 0.2500 0.7500 0.5000
Cs: 0.7500 0.2500 0.5000
Mg: 0.0000 0.0000 0.0000
Ag: 0.5000 0.5000 0.0000
Br: 0.2397 0.2397 0.4795
Br: 0.2397 0.7603 0.0000
Br: 0.2582 0.2582 0.0000
Br: 0.7418 0.7418 0.0000
Br: 0.7603 0.2397 0.0000
Br: 0.7603 0.7603 0.5205

For the uncorrected formation energy, the calculation gives -1160 kJ/mol of formula units. As for the electronic total energy: -28.21 eV per cell. As for the space group: No. 139.

7.
The following is a DFT calculation (GGA-PBE) of a geometry-optimized Cs2MgAgBr6 structure.

Cell lengths 7.9047, 7.8965, 13.4260 Å; angles 90.00, 125.74, 90.00 degrees
Sites, in units of the cell vectors:
Cs: 0.2499 0.0014 0.2498
Cs: 0.2499 0.4986 0.7498
Cs: 0.7501 0.5014 0.2502
Cs: 0.7501 0.9986 0.7502
Mg: 0.0000 0.0000 0.5000
Mg: 0.0000 0.5000 0.0000
Ag: 0.5000 0.0000 0.0000
Ag: 0.5000 0.5000 0.5000
Br: 0.2238 0.7273 0.9967
Br: 0.2238 0.7727 0.4967
Br: 0.2510 0.2449 0.9957
Br: 0.2510 0.2551 0.4957
Br: 0.2672 0.5037 0.2577
Br: 0.2672 0.9963 0.7577
Br: 0.7328 0.0037 0.2423
Br: 0.7328 0.4963 0.7423
Br: 0.7490 0.7449 0.5043
Br: 0.7490 0.7551 0.0043
Br: 0.7762 0.2273 0.5033
Br: 0.7762 0.2727 0.0033

For the uncorrected formation energy, the calculation gives -1161 kJ/mol of formula units. As for the electronic total energy: -56.45 eV per cell. As for the space group: No. 14.

8.
The following is a DFT calculation (GGA-PBE) of a geometry-optimized Cs3MgAg2Br9 structure.

Cell lengths 7.7509, 7.7509, 9.5129 Å; angles 90.00, 90.00, 120.00 degrees
Sites, in units of the cell vectors:
Cs: 0.0000 0.0000 0.0000
Cs: 0.3333 0.6667 0.6616
Cs: 0.6667 0.3333 0.3384
Mg: 0.0000 0.0000 0.5000
Ag: 0.3333 0.6667 0.1650
Ag: 0.6667 0.3333 0.8350
Br: 0.0000 0.5000 0.0000
Br: 0.1642 0.3285 0.3346
Br: 0.1642 0.8358 0.3346
Br: 0.3285 0.1642 0.6654
Br: 0.5000 0.0000 0.0000
Br: 0.5000 0.5000 0.0000
Br: 0.6715 0.8358 0.3346
Br: 0.8358 0.1642 0.6654
Br: 0.8358 0.6715 0.6654

For the uncorrected formation energy, the calculation gives -1604 kJ/mol of formula units. As for the electronic total energy: -41.54 eV per cell. As for the space group: No. 164.

9.
The following is a DFT calculation (GGA-PBE) of a geometry-optimized CsMg2AgBr6 structure.

Cell lengths 10.5736, 10.5736, 7.8285 Å; angles 102.62, 102.62, 93.67 degrees
Sites, in units of the cell vectors:
Cs: 0.1113 0.8887 0.7500
Cs: 0.8887 0.1113 0.2500
Mg: 0.2352 0.3843 0.8175
Mg: 0.3843 0.2352 0.3175
Mg: 0.6157 0.7648 0.6825
Mg: 0.7648 0.6157 0.1825
Ag: 0.2445 0.7555 0.2500
Ag: 0.7555 0.2445 0.7500
Br: 0.0372 0.2199 0.7234
Br: 0.1650 0.6049 0.9281
Br: 0.2199 0.0372 0.2234
Br: 0.3146 0.4146 0.5389
Br: 0.3951 0.8350 0.5719
Br: 0.4146 0.3146 0.0389
Br: 0.5854 0.6854 0.9611
Br: 0.6049 0.1650 0.4281
Br: 0.6854 0.5854 0.4611
Br: 0.7801 0.9628 0.7766
Br: 0.8350 0.3951 0.0719
Br: 0.9628 0.7801 0.2766

For the uncorrected formation energy, the calculation gives -1228 kJ/mol of formula units. As for the electronic total energy: -59.32 eV per cell. As for the space group: No. 15.

10.
The following is a DFT calculation (GGA-PBE) of a geometry-optimized CsMnAg2Br4 structure.

Cell lengths 7.1235, 7.1235, 7.1235 Å; angles 115.34, 115.34, 98.29 degrees
Sites, in units of the cell vectors:
Cs: 0.0000 0.0000 0.0000
Mn: 0.5000 0.5000 0.0000
Ag: 0.2500 0.7500 0.5000
Ag: 0.7500 0.2500 0.5000
Br: 0.1496 0.5280 0.0000
Br: 0.4720 0.4720 0.6216
Br: 0.5280 0.1496 0.0000
Br: 0.8504 0.8504 0.3784

For the uncorrected formation energy, the calculation gives -467 kJ/mol of formula units. As for the electronic total energy: -27.25 eV per cell. As for the space group: No. 121.

11.
The following is a DFT calculation (GGA-PBE) of a geometry-optimized CsMnAgBr4 structure.

Cell lengths 6.6393, 7.8485, 9.9683 Å; angles 90.00, 106.89, 90.00 degrees
Sites, in units of the cell vectors:
Cs: 0.2162 0.2500 0.4143
Cs: 0.7838 0.7500 0.5857
Mn: 0.3068 0.7500 0.1849
Mn: 0.6932 0.2500 0.8151
Ag: 0.3672 0.2500 0.9877
Ag: 0.6328 0.7500 0.0123
Br: 0.0145 0.7500 0.9652
Br: 0.2012 0.7500 0.4055
Br: 0.4408 0.0026 0.7950
Br: 0.4408 0.4974 0.7950
Br: 0.5592 0.5026 0.2050
Br: 0.5592 0.9974 0.2050
Br: 0.7988 0.2500 0.5945
Br: 0.9855 0.2500 0.0348

For the uncorrected formation energy, the calculation gives -647 kJ/mol of formula units. As for the electronic total energy: -52.54 eV per cell. As for the space group: No. 11.

12.
The following is a DFT calculation (GGA-PBE) of a geometry-optimized Cs3MnAg2Br6 structure.

Cell lengths 8.0539, 8.0539, 8.9742 Å; angles 90.00, 90.00, 120.00 degrees
Sites, in units of the cell vectors:
Cs: 0.0000 0.0000 0.0000
Cs: 0.3333 0.6667 0.6403
Cs: 0.6667 0.3333 0.3597
Mn: 0.0000 0.0000 0.5000
Ag: 0.3333 0.6667 0.1871
Ag: 0.6667 0.3333 0.8129
Br: 0.1567 0.3133 0.3202
Br: 0.1567 0.8433 0.3202
Br: 0.3133 0.1567 0.6798
Br: 0.6867 0.8433 0.3202
Br: 0.8433 0.1567 0.6798
Br: 0.8433 0.6867 0.6798

For the uncorrected formation energy, the calculation gives -1095 kJ/mol of formula units. As for the electronic total energy: -38.82 eV per cell. As for the space group: No. 164.

13.
The following is a DFT calculation (GGA-PBE) of a geometry-optimized Cs2MnAgBr5 structure.

Cell lengths 10.6532, 10.6532, 14.8500 Å; angles 90.00, 90.00, 155.61 degrees
Sites, in units of the cell vectors:
Cs: 0.1280 0.8720 0.5000
Cs: 0.1324 0.8676 0.1305
Cs: 0.8676 0.1324 0.6305
Cs: 0.8720 0.1280 0.0000
Mn: 0.4271 0.5729 0.2451
Mn: 0.5729 0.4271 0.7451
Ag: 0.2275 0.7725 0.8634
Ag: 0.7725 0.2275 0.3634
Br: 0.0474 0.9526 0.8259
Br: 0.3066 0.6934 0.4545
Br: 0.3143 0.6857 0.1904
Br: 0.3505 0.6495 0.8156
Br: 0.4933 0.5067 0.1041
Br: 0.5067 0.4933 0.6041
Br: 0.6495 0.3505 0.3156
Br: 0.6857 0.3143 0.6904
Br: 0.6934 0.3066 0.9545
Br: 0.9526 0.0474 0.3259

For the uncorrected formation energy, the calculation gives -980 kJ/mol of formula units. As for the electronic total energy: -64.50 eV per cell. As for the space group: No. 36.

14.
The following is a DFT calculation (GGA-PBE) of a geometry-optimized Cs3Mn2AgBr9 structure.

Cell lengths 7.6831, 7.6831, 9.4552 Å; angles 90.00, 90.00, 120.00 degrees
Sites, in units of the cell vectors:
Cs: 0.0000 0.0000 0.0000
Cs: 0.3333 0.6667 0.6622
Cs: 0.6667 0.3333 0.3378
Mn: 0.3333 0.6667 0.1684
Mn: 0.6667 0.3333 0.8316
Ag: 0.0000 0.0000 0.5000
Br: 0.0000 0.5000 0.0000
Br: 0.1726 0.3451 0.3215
Br: 0.1726 0.8274 0.3215
Br: 0.3451 0.1726 0.6785
Br: 0.5000 0.0000 0.0000
Br: 0.5000 0.5000 0.0000
Br: 0.6549 0.8274 0.3215
Br: 0.8274 0.1726 0.6785
Br: 0.8274 0.6549 0.6785

For the uncorrected formation energy, the calculation gives -1628 kJ/mol of formula units. As for the electronic total energy: -55.68 eV per cell. As for the space group: No. 164.

15.
The following is a DFT calculation (GGA-PBE) of a geometry-optimized Cs3Mn2AgBr8 structure.

Cell lengths 7.8752, 7.8752, 10.1658 Å; angles 90.00, 90.00, 120.00 degrees
Sites, in units of the cell vectors:
Cs: 0.0000 0.0000 0.0000
Cs: 0.3333 0.6667 0.6306
Cs: 0.6667 0.3333 0.3694
Mn: 0.3333 0.6667 0.2189
Mn: 0.6667 0.3333 0.7811
Ag: 0.0000 0.0000 0.5000
Br: 0.1646 0.3293 0.3190
Br: 0.1646 0.8354 0.3190
Br: 0.3293 0.1646 0.6810
Br: 0.3333 0.6667 0.9796
Br: 0.6667 0.3333 0.0204
Br: 0.6707 0.8354 0.3190
Br: 0.8354 0.1646 0.6810
Br: 0.8354 0.6707 0.6810

For the uncorrected formation energy, the calculation gives -1589 kJ/mol of formula units. As for the electronic total energy: -53.60 eV per cell. As for the space group: No. 164.

16.
The following is a DFT calculation (GGA-PBE) of a geometry-optimized CsAg2MoBr8 structure.

Cell lengths 6.7140, 7.5647, 9.1278 Å; angles 75.60, 82.80, 88.33 degrees
Sites, in units of the cell vectors:
Cs: 0.0000 0.0000 0.0000
Ag: 0.4807 0.5207 0.8119
Ag: 0.5193 0.4793 0.1881
Mo: 0.0000 0.5000 0.5000
Br: 0.0718 0.5087 0.7677
Br: 0.1751 0.7993 0.3937
Br: 0.3278 0.3305 0.4636
Br: 0.4891 0.2207 0.0334
Br: 0.5109 0.7793 0.9666
Br: 0.6722 0.6695 0.5364
Br: 0.8249 0.2007 0.6063
Br: 0.9282 0.4913 0.2323

For the uncorrected formation energy, the calculation gives -734 kJ/mol of formula units. As for the electronic total energy: -38.38 eV per cell. As for the space group: No. 2.

17.
The following is a DFT calculation (GGA-PBE) of a geometry-optimized CsAgMoBr6 structure.

Cell lengths 7.2230, 7.2230, 7.9402 Å; angles 90.00, 90.00, 120.00 degrees
Sites, in units of the cell vectors:
Cs: 0.0000 0.0000 0.0000
Ag: 0.3333 0.6667 0.5000
Mo: 0.6667 0.3333 0.5000
Br: 0.3874 0.0336 0.6865
Br: 0.3874 0.3538 0.3135
Br: 0.6462 0.0336 0.3135
Br: 0.6462 0.6126 0.6865
Br: 0.9664 0.3538 0.6865
Br: 0.9664 0.6126 0.3135

For the uncorrected formation energy, the calculation gives -651 kJ/mol of formula units. As for the electronic total energy: -31.32 eV per cell. As for the space group: No. 149.

18.
The following is a DFT calculation (GGA-PBE) of a geometry-optimized Cs4NaAg3Br12 structure.

Cell lengths 9.6077, 9.6077, 9.6077 Å; angles 109.47, 109.47, 109.47 degrees
Sites, in units of the cell vectors:
Cs: 0.0000 0.0000 0.5000
Cs: 0.0000 0.5000 0.0000
Cs: 0.5000 0.0000 0.0000
Cs: 0.5000 0.5000 0.5000
Na: 0.0000 0.0000 0.0000
Ag: 0.0000 0.5000 0.5000
Ag: 0.5000 0.0000 0.5000
Ag: 0.5000 0.5000 0.0000
Br: 0.0000 0.2642 0.2642
Br: 0.0000 0.7358 0.7358
Br: 0.2500 0.5000 0.7500
Br: 0.2500 0.7500 0.5000
Br: 0.2642 0.0000 0.2642
Br: 0.2642 0.2642 0.0000
Br: 0.5000 0.2500 0.7500
Br: 0.5000 0.7500 0.2500
Br: 0.7358 0.0000 0.7358
Br: 0.7358 0.7358 0.0000
Br: 0.7500 0.2500 0.5000
Br: 0.7500 0.5000 0.2500

For the uncorrected formation energy, the calculation gives -1907 kJ/mol of formula units. As for the electronic total energy: -53.13 eV per cell. As for the space group: No. 229.

19.
The following is a DFT calculation (GGA-PBE) of a geometry-optimized CsNaAg2Br5 structure.

Cell lengths 5.2960, 5.2960, 10.4418 Å; angles 90.00, 90.00, 90.00 degrees
Sites, in units of the cell vectors:
Cs: 0.0000 0.0000 0.0000
Na: 0.0000 0.0000 0.5000
Ag: 0.5000 0.5000 0.2728
Ag: 0.5000 0.5000 0.7272
Br: 0.0000 0.5000 0.3155
Br: 0.0000 0.5000 0.6845
Br: 0.5000 0.0000 0.3155
Br: 0.5000 0.0000 0.6845
Br: 0.5000 0.5000 0.0000

For the uncorrected formation energy, the calculation gives -787 kJ/mol of formula units. As for the electronic total energy: -24.40 eV per cell. As for the space group: No. 123.